# BeCuGePt

A relaxed BeCuGePt crystal (PBE, OQMD via LeMat-Bulk).

Structure (POSCAR):
```
BeCuGePt
1.0
0.0000 2.9877 2.9877
2.9877 0.0000 2.9877
2.9877 2.9877 0.0000
Be Cu Ge Pt
1 1 1 1
Cartesian
0.0000 0.0000 0.0000 Be
2.9877 2.9877 2.9877 Cu
1.4938 1.4938 1.4938 Ge
4.4815 4.4815 4.4815 Pt
```

Calculated values
Energy relative to the lowest polymorph listed for this composition, kJ per mole of atoms: 14.0
Space group: F-43m (216)